Entry 1:
LiAc3Tl2Pd6: relaxed, PBE.

## Properties
The energy of formation from the pure elements is -0.6176 eV/atom. As for the space group: P-3m1 (164).

a = 5.957 Å, b = 5.957 Å, c = 9.004 Å
α = 90.00°, β = 90.00°, γ = 120.00°
Element x y z (fractional)
Li (0.000, 0.000, 0.000)
Ac (0.000, 0.000, 0.500)
Ac (0.333, 0.667, 0.119)
Ac (0.667, 0.333, 0.881)
Tl (0.333, 0.667, 0.522)
Tl (0.667, 0.333, 0.478)
Pd (0.171, 0.341, 0.792)
Pd (0.171, 0.829, 0.792)
Pd (0.341, 0.171, 0.208)
Pd (0.659, 0.829, 0.792)
Pd (0.829, 0.171, 0.208)
Pd (0.829, 0.659, 0.208)

Entry 2:
LiAcTl2Pd4: relaxed, PBE.

## Properties
The energy of formation from the pure elements is -0.4660 eV/atom. As for the space group: R-3m (166).

a = 9.129 Å, b = 9.129 Å, c = 9.129 Å
α = 29.66°, β = 29.66°, γ = 29.66°
Element x y z (fractional)
Li (0.000, 0.000, 0.000)
Ac (0.500, 0.500, 0.500)
Tl (0.263, 0.263, 0.263)
Tl (0.737, 0.737, 0.737)
Pd (0.099, 0.099, 0.099)
Pd (0.372, 0.372, 0.372)
Pd (0.628, 0.628, 0.628)
Pd (0.901, 0.901, 0.901)